# Hf2BeH (PBE, relaxed)
# Energy relative to the lowest polymorph listed for this composition: 0 meV per atom
# Density: 10.82 g/cm³
data_Hf2BeH
_chemical_formula_sum 'Hf6 Be3 H3'
_space_group_name_H-M_alt 'R -3 m'
_space_group_IT_number 166
_space_group_name_Hall '-R 3 2"'
_cell_length_a 3.4534
_cell_length_b 3.4534
_cell_length_c 16.3622
_cell_angle_alpha 90.00
_cell_angle_beta 90.00
_cell_angle_gamma 120.00
loop_
_atom_site_label
_atom_site_fract_x
_atom_site_fract_y
_atom_site_fract_z
Hf1 0.0000 0.0000 0.2418
Be1 0.0000 0.0000 0.0000
H1 0.0000 0.0000 0.5000


# Hf2BeH (PBE, relaxed)
# Energy relative to the lowest polymorph listed for this composition: 130 meV per atom
# Density: 10.93 g/cm³
data_Hf2BeH
_chemical_formula_sum 'Hf8 Be4 H4'
_space_group_name_H-M_alt 'F m -3 m'
_space_group_IT_number 225
_space_group_name_Hall '-F 4 2 3'
_cell_length_a 6.064
_cell_length_b 6.064
_cell_length_c 6.064
_cell_angle_alpha 90.00
_cell_angle_beta 90.00
_cell_angle_gamma 90.00
loop_
_atom_site_label
_atom_site_fract_x
_atom_site_fract_y
_atom_site_fract_z
Hf1 0.250 0.250 0.250
Be1 0.000 0.000 0.000
H1 0.000 0.000 0.500


| no. | Fermi-level density of states (states/eV/atom) | electronic total energy (eV/cell) |
| --- | --- | --- |
| 1 | 0.585 | -80.6 |
| 2 | 0.448 | -105.4 |